Computed, not measured: a relaxed CePmTlHg crystal at the PBE-GGA level of DFT.

Results
* total magnetic moment: 1.037 μB/cell
* SG: P4mm (99)
* offset from the most stable computed form: 0 meV per atom
* Fermi-level density of states: 8.957 states/eV/f.u.

```
CePmTlHg
1.0
-3.2282 1.4935 0.4312
-1.0175 -2.7814 2.0166
2.8781 4.1494 7.1751
Ce Pm Tl Hg
1 1 1 1
Direct
0.0000 0.0000 0.3633
0.0000 0.0000 0.8506
0.5000 0.5000 0.1050
0.5000 0.5000 0.6091
```